Record 1
Compound: Li2Au
Source: Alexandria via LeMat-Bulk
Functional: GGA-PBEsol
Structure: relaxed

E_tot in eV/cell: -8.8
Mass density in g/cm³: 6.16

a b c (Å): 4.5495 4.5495 2.7458
angles (deg): 90.00 90.00 90.00
With the nearest neighbours (Å) after each atom.
Space group P4/mmm (No. 123)
Inequivalent atoms, fractional coordinates:
Li  0.0000  0.5000  0.0000  4 Au 2.66, 2 Li 2.75
Au  0.0000  0.0000  0.5000  8 Li 2.66, 2 Au 2.75

Record 2
Compound: Li3Au2
Source: Alexandria via LeMat-Bulk
Functional: GGA-PBEsol
Structure: relaxed

Distance to the lowest polymorph of the same formula in meV/atom: 83
E_tot in eV/cell: -15.7
Mass density in g/cm³: 7.90

a b c (Å): 4.3787 4.3787 5.2531
angles (deg): 90.00 90.00 120.00
With the nearest neighbours (Å) after each atom.
Space group P-3m1 (No. 164)
Inequivalent atoms, fractional coordinates:
Li  0.0000  0.0000  0.0000  6 Au 2.63
Li  0.3333  0.6667  0.3633  5 Au 2.62-2.80, 3 Li 2.91
Au  0.3333  0.6667  0.8643  8 Li 2.62-2.80, 3 Au 2.90

no.,calculated formation energy (eV/atom)
1,-0.33
2,-0.38